# Nd2TlB2Rh5

A relaxed Nd2TlB2Rh5 crystal (PBE, Alexandria via LeMat-Bulk).

```
20
Lattice="9.852 0.000 0.000 0.000 9.852 0.000 0.000 0.000 3.295" Properties=species:S:1:pos:R:3 pbc="T T T"
Nd 1.744 3.182 0.000
Nd 3.182 8.107 0.000
Nd 6.670 1.744 0.000
Nd 8.107 6.670 0.000
Tl 0.000 0.000 0.000
Tl 4.926 4.926 0.000
B 1.178 6.104 0.000
B 3.748 1.178 0.000
B 6.104 8.674 0.000
B 8.674 3.748 0.000
Rh 0.000 4.926 1.648
Rh 0.690 7.569 1.648
Rh 2.283 0.690 1.648
Rh 2.643 5.616 1.648
Rh 4.235 2.643 1.648
Rh 4.926 0.000 1.648
Rh 5.616 7.208 1.648
Rh 7.208 4.235 1.648
Rh 7.569 9.161 1.648
Rh 9.161 2.283 1.648
```

## Properties
DOS(E_F)	0.39	states/eV per atom
energy relative to the elements	-587	meV/atom